Entry 1:
First-principles (PBE-GGA) data for a relaxed Sm3GdOs crystal, as listed in Alexandria via LeMat-Bulk.

Output
Formation energy from the elements (meV/atom): 86

a b c (Å): 5.543 5.543 5.543
angles (deg): 90.00 90.00 90.00
Last column: magnetic moment on the atom in μB.
Atoms (fractional coordinates):
1 Sm 0.000 0.500 0.000  0.04
2 Sm 0.000 0.000 0.500  0.04
3 Sm 0.500 0.000 0.000  0.04
4 Gd 0.500 0.500 0.500  7.16
5 Os 0.000 0.000 0.000  -0.02

---

Entry 2:
First-principles (PBE-GGA) data for a relaxed SmGdOs crystal, as listed in Alexandria via LeMat-Bulk.

Output
Formation energy from the elements (meV/atom): -136

a b c (Å): 4.843 4.843 4.843
angles (deg): 60.00 60.00 60.00
Last column: magnetic moment on the atom in μB.
Atoms (fractional coordinates):
1 Gd 0.000 0.000 0.000  7.04
2 Sm 0.500 0.500 0.500  0.00
3 Os 0.250 0.250 0.250  -0.07

---

Entry 3:
First-principles (PBE-GGA) data for a relaxed SmGdOs crystal, as listed in Alexandria via LeMat-Bulk.

Output
Formation energy from the elements (meV/atom): -137

a b c (Å): 3.436 3.436 7.194
angles (deg): 103.82 103.82 90.00
Last column: magnetic moment on the atom in μB.
Atoms (fractional coordinates):
1 Gd 0.574 0.574 0.148  7.02
2 Os 0.951 0.951 0.902  -0.10
3 Sm 0.325 0.325 0.650  0.02

---

Entry 4:
First-principles (PBE-GGA) data for a relaxed Sm2GdOs crystal, as listed in Alexandria via LeMat-Bulk.

Output
Formation energy from the elements (meV/atom): 7

a b c (Å): 3.463 3.463 9.494
angles (deg): 90.00 90.00 90.00
Last column: magnetic moment on the atom in μB.
Atoms (fractional coordinates):
1 Gd 0.500 0.500 0.500  7.31
2 Sm 0.000 0.000 0.179  0.01
3 Sm 0.000 0.000 0.821  0.01
4 Os 0.500 0.500 0.000  0.04

---

Question: What is the formation energy from the elements in the fourth record?
Answer: 7 meV/atom

---

Question: Number 2 is which compound?
Answer: SmGdOs

---

Copy entry 2 word for word.
First-principles (PBE-GGA) data for a relaxed SmGdOs crystal, as listed in Alexandria via LeMat-Bulk.

Output
Formation energy from the elements (meV/atom): -136

a b c (Å): 4.843 4.843 4.843
angles (deg): 60.00 60.00 60.00
Last column: magnetic moment on the atom in μB.
Atoms (fractional coordinates):
1 Gd 0.000 0.000 0.000  7.04
2 Sm 0.500 0.500 0.500  0.00
3 Os 0.250 0.250 0.250  -0.07

---

Question: Number 4 is which compound?
Answer: Sm2GdOs